# PBE with a Hubbard U HfFe2O, relaxed
# Symmetry: I-42d (122)
# Calculated volume: 17.809 Å³ per atom
# Fermi-level density of states: 2.39 states/eV/f.u.
# DFT total energy: -51.97 eV for the cell shown
data_HfFe2O
_space_group_name_H-M_alt 'P 1'
_space_group_IT_number 1
_cell_length_a 5.8174
_cell_length_b 5.8174
_cell_length_c 5.8174
_cell_angle_alpha 118.36
_cell_angle_beta 118.36
_cell_angle_gamma 92.87
loop_
_space_group_symop_operation_xyz
'x,y,z'
loop_
_atom_site_label
_atom_site_type_symbol
_atom_site_fract_x
_atom_site_fract_y
_atom_site_fract_z
Hf1 Hf 0.0000 0.0000 0.0000
Hf2 Hf 0.7500 0.2500 0.5000
Fe1 Fe 0.2462 0.6250 0.1212
Fe2 Fe 0.3750 0.4962 0.6212
Fe3 Fe 0.5038 0.1250 0.8788
Fe4 Fe 0.8750 0.7538 0.3788
O1 O 0.2500 0.7500 0.5000
O2 O 0.5000 0.5000 0.0000